Record 1
Density functional theory data (PBE) for TbDyTlRh after structural relaxation.

abc: 5.1262 5.1262 5.1262
angles: 60.00 60.00 60.00
Closest atoms and distances in Å follow each position.
Fractional coordinates of all 4 atoms:
Tl 0.2500 0.2500 0.2500  4 Tb 3.14, 4 Dy 3.14
Tb 0.0000 0.0000 0.0000  4 Tl 3.14, 4 Rh 3.14
Dy 0.5000 0.5000 0.5000  4 Rh 3.14, 4 Tl 3.14
Rh 0.7500 0.7500 0.7500  4 Tb 3.14, 4 Dy 3.14

Computed properties:
raw total energy = -5.228 eV per atom
crystal system = cubic
D(E_F) = 2.05 states/eV/f.u.
energy relative to the lowest polymorph listed for this composition = 120 meV/atom
spin magnetization = 0.0 μB/f.u.
SG = F-43m (216)

***

Record 2
Density functional theory data (PBE) for TbDyTlRh after structural relaxation.

abc: 3.5388 3.5388 7.6413
angles: 90.00 90.00 90.00
Closest atoms and distances in Å follow each position.
Fractional coordinates of all 4 atoms:
Dy 0.5000 0.5000 0.3565  4 Rh 2.98, 1 Tb 3.28, 4 Tl 3.31
Tb 0.5000 0.5000 0.7864  4 Rh 3.00, 1 Dy 3.28, 4 Tl 3.32
Rh 0.0000 0.0000 0.5690  4 Dy 2.98, 4 Tb 3.00
Tl 0.0000 0.0000 0.0727  4 Dy 3.31, 4 Tb 3.32, 4 Tl 3.54

Computed properties:
raw total energy = -5.349 eV per atom
crystal system = tetragonal
D(E_F) = 2.01 states/eV/f.u.
energy relative to the lowest polymorph listed for this composition = 0 meV/atom
spin magnetization = 0.0 μB/f.u.
SG = P4mm (99)

***

Record 3
Density functional theory data (PBE) for Tb2DyTmRh4 after structural relaxation.

abc: 4.8353 4.8353 8.3897
angles: 73.25 73.25 60.00
Closest atoms and distances in Å follow each position.
Fractional coordinates of all 8 atoms:
Rh 0.8743 0.8743 0.3770  4 Tb 2.94-2.96, 3 Tm 2.96, 1 Dy 2.98
Rh 0.3757 0.3757 0.8730  1 Tm 2.95, 4 Tb 2.96-2.99, 3 Dy 2.97
Rh 0.1257 0.1257 0.6230  4 Tb 2.94-2.96, 3 Tm 2.96, 1 Dy 2.98
Rh 0.6243 0.6243 0.1270  1 Tm 2.95, 4 Tb 2.96-2.99, 3 Dy 2.97
Dy 0.0000 0.0000 0.0000  8 Rh 2.97-2.98
Tb 0.2495 0.2495 0.2514  8 Rh 2.94-2.99
Tb 0.7505 0.7505 0.7486  8 Rh 2.94-2.99
Tm 0.5000 0.5000 0.5000  8 Rh 2.95-2.96

Computed properties:
raw total energy = -6.855 eV per atom
crystal system = trigonal
D(E_F) = 3.36 states/eV/f.u.
spin magnetization = 0.0 μB/f.u.
SG = R-3m (166)

***

Record 4
Density functional theory data (PBE) for TbDyTm2Rh4 after structural relaxation.

abc: 4.8145 4.8145 8.3468
angles: 73.24 73.24 60.00
Closest atoms and distances in Å follow each position.
Fractional coordinates of all 8 atoms:
Rh 0.6248 0.6248 0.1257  1 Dy 2.95, 4 Tm 2.95-2.96, 3 Tb 2.95
Rh 0.8748 0.8748 0.3757  4 Tm 2.94-2.95, 3 Dy 2.95, 1 Tb 2.96
Rh 0.3752 0.3752 0.8743  1 Dy 2.95, 4 Tm 2.95-2.96, 3 Tb 2.95
Rh 0.1252 0.1252 0.6243  4 Tm 2.94-2.95, 3 Dy 2.95, 1 Tb 2.96
Dy 0.5000 0.5000 0.5000  8 Rh 2.95
Tb 0.0000 0.0000 0.0000  8 Rh 2.95-2.96
Tm 0.7502 0.7502 0.7494  8 Rh 2.94-2.96
Tm 0.2498 0.2498 0.2506  8 Rh 2.94-2.96

Computed properties:
raw total energy = -6.866 eV per atom
crystal system = trigonal
D(E_F) = 3.19 states/eV/f.u.
spin magnetization = 0.0 μB/f.u.
SG = R-3m (166)

***

Record 5
Density functional theory data (PBE) for Dy8TcRh2 after structural relaxation.

abc: 5.8334 7.5877 7.5877
angles: 114.24 100.52 100.52
Closest atoms and distances in Å follow each position.
Fractional coordinates of all 11 atoms:
Rh 0.4983 0.7001 0.3162  6 Dy 2.79-3.07
Rh 0.4983 0.3162 0.7001  6 Dy 2.79-3.07
Dy 0.1763 0.3633 0.3633  1 Tc 2.82, 2 Rh 3.07
Dy 0.3885 0.6706 0.9228  2 Rh 2.79-2.84
Dy 0.5813 0.0825 0.3333  2 Rh 2.80-2.81
Dy 0.9904 0.7835 0.2092  1 Tc 2.78
Dy 0.3885 0.9228 0.6706  2 Rh 2.79-2.84
Dy 0.8114 0.6462 0.6462  1 Tc 2.87, 2 Rh 3.04
Dy 0.9904 0.2092 0.7835  1 Tc 2.78
Dy 0.5813 0.3333 0.0825  2 Rh 2.80-2.81
Tc 0.0951 0.0061 0.0061  4 Dy 2.78-2.87

Computed properties:
raw total energy = -5.922 eV per atom
crystal system = monoclinic
D(E_F) = 9.49 states/eV/f.u.
spin magnetization = 0.0 μB/f.u.
SG = Cm (8)

***

Record 6
Density functional theory data (PBE) for DyThTcRh after structural relaxation.

abc: 4.9412 4.9412 4.9412
angles: 60.00 60.00 60.00
Closest atoms and distances in Å follow each position.
Fractional coordinates of all 4 atoms:
Dy 0.2500 0.2500 0.2500  4 Tc 3.03, 4 Rh 3.03
Th 0.7500 0.7500 0.7500  4 Tc 3.03, 4 Rh 3.03
Rh 0.0000 0.0000 0.0000  4 Th 3.03, 4 Dy 3.03
Tc 0.5000 0.5000 0.5000  4 Th 3.03, 4 Dy 3.03

Computed properties:
raw total energy = -7.860 eV per atom
crystal system = cubic
D(E_F) = 3.38 states/eV/f.u.
spin magnetization = 0.0 μB/f.u.
SG = F-43m (216)

***

Record 7
Density functional theory data (PBE) for DyZrTcRh after structural relaxation.

abc: 4.7381 4.7381 4.7381
angles: 60.00 60.00 60.00
Closest atoms and distances in Å follow each position.
Fractional coordinates of all 4 atoms:
Dy 0.5000 0.5000 0.5000  4 Rh 2.90, 4 Tc 2.90
Rh 0.7500 0.7500 0.7500  4 Dy 2.90, 4 Zr 2.90
Zr 0.0000 0.0000 0.0000  4 Tc 2.90, 4 Rh 2.90
Tc 0.2500 0.2500 0.2500  4 Zr 2.90, 4 Dy 2.90

Computed properties:
raw total energy = -8.201 eV per atom
crystal system = cubic
D(E_F) = 3.08 states/eV/f.u.
spin magnetization = 0.0 μB/f.u.
SG = F-43m (216)

***

Record 8
Density functional theory data (PBE) for Dy4Te3Rh after structural relaxation.

abc: 7.2904 7.6782 8.6887
angles: 90.00 90.00 109.03
Closest atoms and distances in Å follow each position.
Fractional coordinates of all 16 atoms:
Te 0.2500 0.0000 0.6150  6 Dy 3.10-3.13
Te 0.7500 0.5000 0.1221  6 Dy 3.05-3.32
Te 0.2500 0.5000 0.8779  6 Dy 3.05-3.32
Te 0.7500 0.0000 0.3850  6 Dy 3.10-3.13
Te 0.7500 0.5000 0.6123  6 Dy 3.06-3.39
Te 0.2500 0.5000 0.3877  6 Dy 3.06-3.39
Dy 0.5305 0.7742 0.6629  1 Rh 2.75, 2 Te 3.05-3.06
Dy 0.4929 0.7861 0.1120  2 Rh 2.78-2.83, 1 Te 3.09
Dy 0.0305 0.7742 0.3371  1 Rh 2.75, 2 Te 3.05-3.06
Dy 0.4695 0.2258 0.3371  1 Rh 2.75, 2 Te 3.05-3.06
Dy 0.0071 0.2139 0.1120  2 Rh 2.78-2.83, 1 Te 3.09
Dy 0.9695 0.2258 0.6629  1 Rh 2.75, 2 Te 3.05-3.06
Dy 0.9929 0.7861 0.8880  2 Rh 2.78-2.83, 1 Te 3.09
Dy 0.5071 0.2139 0.8880  2 Rh 2.78-2.83, 1 Te 3.09
Rh 0.2500 0.0000 0.1128  6 Dy 2.75-2.83
Rh 0.7500 0.0000 0.8872  6 Dy 2.75-2.83

Computed properties:
raw total energy = -5.602 eV per atom
crystal system = monoclinic
D(E_F) = 4.93 states/eV/f.u.
raw formation energy = -1204 meV per atom
spin magnetization = 0.0 μB/f.u.
SG = P2/c (13)

***

Record 9
Density functional theory data (PBE) for DyTeRh2 after structural relaxation.

abc: 3.8355 4.4393 4.4393
angles: 90.00 90.00 90.00
Closest atoms and distances in Å follow each position.
Fractional coordinates of all 4 atoms:
Rh 0.0000 0.5000 0.0000  4 Dy 2.93, 4 Te 2.93, 4 Rh 3.14
Rh 0.0000 0.0000 0.5000  4 Dy 2.93, 4 Te 2.93, 4 Rh 3.14
Te 0.5000 0.0000 0.0000  8 Rh 2.93, 4 Dy 3.14
Dy 0.5000 0.5000 0.5000  8 Rh 2.93, 4 Te 3.14

Computed properties:
raw total energy = -6.233 eV per atom
crystal system = tetragonal
D(E_F) = 4.09 states/eV/f.u.
raw formation energy = -622 meV per atom
spin magnetization = 0.0 μB/f.u.
SG = P4/mmm (123)

***

Record 10
Density functional theory data (PBE) for Dy5Te4Rh after structural relaxation.

abc: 6.1370 7.4934 7.4934
angles: 80.35 65.83 65.83
Closest atoms and distances in Å follow each position.
Fractional coordinates of all 10 atoms:
Dy 0.9067 0.3559 0.8328  1 Rh 2.69
Dy 0.0954 0.6441 0.1672  1 Rh 2.69
Dy 0.2626 0.8328 0.6441  1 Rh 2.69
Dy 0.5006 0.0000 0.0000  2 Rh 3.07, 4 Te 3.11
Dy 0.7395 0.1672 0.3559  1 Rh 2.69
Te 0.4140 0.3969 0.7772  6 Dy 3.10-3.28
Te 0.5882 0.6031 0.2228  6 Dy 3.10-3.28
Te 0.1913 0.2228 0.3969  6 Dy 3.10-3.28
Te 0.8109 0.7772 0.6031  6 Dy 3.10-3.28
Rh 0.0010 0.0000 0.0000  4 Dy 2.69

Computed properties:
raw total energy = -5.489 eV per atom
crystal system = tetragonal
D(E_F) = 9.33 states/eV/f.u.
raw formation energy = -1196 meV per atom
energy relative to the lowest polymorph listed for this composition = 0 meV/atom
spin magnetization = 0.0 μB/f.u.
SG = I4/m (87)

***

Record 11
Density functional theory data (PBE) for DyTeRh after structural relaxation.

abc: 3.8640 4.4744 4.4744
angles: 120.00 90.00 90.00
Closest atoms and distances in Å follow each position.
Fractional coordinates of all 3 atoms:
Te 0.1421 0.0000 0.0000  3 Rh 2.59
Dy 0.6541 0.6667 0.3333  6 Rh 3.11-3.34, 6 Te 3.20-3.25
Rh 0.2039 0.3333 0.6667  3 Te 2.59

Computed properties:
raw total energy = -6.019 eV per atom
crystal system = trigonal
D(E_F) = 1.26 states/eV/f.u.
raw formation energy = -987 meV per atom
spin magnetization = 0.0 μB/f.u.
SG = P3m1 (156)

***

Record 12
Density functional theory data (PBE) for Dy5Te2Rh after structural relaxation.

abc: 5.6034 7.8558 13.2793
angles: 90.00 90.00 110.89
Closest atoms and distances in Å follow each position.
Fractional coordinates of all 16 atoms:
Dy 0.9160 0.8320 0.6162  1 Rh 2.65
Dy 0.7047 0.4094 0.2500  2 Rh 2.81, 2 Te 3.11
Dy 0.3112 0.6225 0.4526  1 Rh 3.02, 3 Te 3.04-3.38
Dy 0.0840 0.1680 0.1162  1 Rh 2.65
Dy 0.3112 0.6225 0.0474  1 Rh 3.02, 3 Te 3.04-3.38
Dy 0.6888 0.3775 0.9526  1 Rh 3.02, 3 Te 3.04-3.38
Dy 0.0840 0.1680 0.3838  1 Rh 2.65
Dy 0.6888 0.3775 0.5474  1 Rh 3.02, 3 Te 3.04-3.38
Dy 0.2953 0.5906 0.7500  2 Rh 2.81, 2 Te 3.11
Dy 0.9160 0.8320 0.8838  1 Rh 2.65
Rh 0.2182 0.4363 0.2500  4 Dy 2.65-2.81
Rh 0.7818 0.5637 0.7500  4 Dy 2.65-2.81
Te 0.8723 0.7446 0.3939  6 Dy 3.02-3.38
Te 0.8723 0.7446 0.1061  6 Dy 3.02-3.38
Te 0.1277 0.2554 0.8939  6 Dy 3.02-3.38
Te 0.1277 0.2554 0.6061  6 Dy 3.02-3.38

Computed properties:
raw total energy = -5.123 eV per atom
crystal system = orthorhombic
D(E_F) = 7.40 states/eV/f.u.
raw formation energy = -543 meV per atom
spin magnetization = 0.0 μB/f.u.
SG = Cmcm (63)